No. 1
# ScUTe2O PBE-GGA relaxed
data_ScUTe2O
_chemical_formula_sum 'Sc2 U2 Te4 O2'
_symmetry_space_group_name_H-M 'P 4/n m m'
_symmetry_Int_Tables_number 129
_cell_length_a 4.029
_cell_length_b 4.029
_cell_length_c 14.431
_cell_angle_alpha 90.00
_cell_angle_beta 90.00
_cell_angle_gamma 90.00
loop_
_symmetry_equiv_pos_as_xyz
'x,y,z'
'-x,-y,-z'
'-y+1/2,x,z'
'y+1/2,-x,-z'
'-x+1/2,-y+1/2,z'
'x+1/2,y+1/2,-z'
'y,-x+1/2,z'
'-y,x+1/2,-z'
'x+1/2,-y,-z'
'-x+1/2,y,z'
'-y,-x,-z'
'y,x,z'
'-x,y+1/2,-z'
'x,-y+1/2,z'
'y+1/2,x+1/2,-z'
'-y+1/2,-x+1/2,z'
loop_
_atom_site_label
_atom_site_type_symbol
_atom_site_fract_x
_atom_site_fract_y
_atom_site_fract_z
Sc1 Sc 0.250 0.250 0.088
U1 U 0.250 0.250 0.583
Te1 Te 0.250 0.250 0.302
Te2 Te 0.250 0.250 0.884
O1 O 0.250 0.750 0.500
# * uncorrected formation energy: -1.720 eV/atom
# * E_tot: -7.493 eV/atom
# * V: 234.2 Å³/cell

=====

No. 2
# YScTeO6 PBE-GGA relaxed
data_YScTeO6
_chemical_formula_sum 'Y2 Sc2 Te2 O12'
_symmetry_space_group_name_H-M 'P -3 1 c'
_symmetry_Int_Tables_number 163
_symmetry_space_group_name_Hall '-P 3 2c'
_cell_length_a 5.3410
_cell_length_b 5.3410
_cell_length_c 9.6896
_cell_angle_alpha 90.00
_cell_angle_beta 90.00
_cell_angle_gamma 120.00
loop_
_atom_site_label
_atom_site_type_symbol
_atom_site_fract_x
_atom_site_fract_y
_atom_site_fract_z
Y1 Y 0.0000 0.0000 0.0000
Sc1 Sc 0.3333 0.6667 0.2500
Te1 Te 0.3333 0.6667 0.7500
O1 O 0.0240 0.3689 0.6377
# * uncorrected formation energy: -2.473 eV/atom
# * E_tot: -7.549 eV/atom
# * V: 239.4 Å³/cell

=====

No. 3
# Y2ScTe2O2 PBE-GGA relaxed
data_Y2ScTe2O2
_chemical_formula_sum 'Y4 Sc2 Te4 O4'
_symmetry_space_group_name_H-M 'I 4/m m m'
_symmetry_Int_Tables_number 139
_symmetry_space_group_name_Hall '-I 4 2'
_cell_length_a 4.137
_cell_length_b 4.137
_cell_length_c 16.708
_cell_angle_alpha 90.00
_cell_angle_beta 90.00
_cell_angle_gamma 90.00
loop_
_atom_site_label
_atom_site_type_symbol
_atom_site_fract_x
_atom_site_fract_y
_atom_site_fract_z
Y1 Y 0.000 0.000 0.102
Sc1 Sc 0.000 0.000 0.500
Te1 Te 0.000 0.000 0.322
O1 O 0.000 0.500 0.000
# * uncorrected formation energy: -2.205 eV/atom
# * E_tot: -7.270 eV/atom
# * V: 286.0 Å³/cell

=====

No. 4
# YSc2TeO8 PBE-GGA relaxed
data_YSc2TeO8
_chemical_formula_sum 'Y2 Sc4 Te2 O16'
_symmetry_space_group_name_H-M 'C m m m'
_symmetry_Int_Tables_number 65
_symmetry_space_group_name_Hall '-C 2 2'
_cell_length_a 6.807
_cell_length_b 6.856
_cell_length_c 6.672
_cell_angle_alpha 90.00
_cell_angle_beta 90.00
_cell_angle_gamma 90.00
loop_
_atom_site_label
_atom_site_type_symbol
_atom_site_fract_x
_atom_site_fract_y
_atom_site_fract_z
Y1 Y 0.000 0.000 0.000
Sc1 Sc 0.000 0.500 0.255
Te1 Te 0.000 0.000 0.500
O1 O 0.000 0.192 0.285
O2 O 0.177 0.500 0.000
O3 O 0.212 0.500 0.500
# * uncorrected formation energy: -2.475 eV/atom
# * E_tot: -7.636 eV/atom
# * V: 311.4 Å³/cell